Computed, not measured: a relaxed Ba2ThSe4 crystal at the GGA-PBE level of DFT.

```
Ba2ThSe4
1.0
8.1275 0.0000 0.0000
0.0000 13.1641 0.0000
0.0000 0.0000 4.5731
Se Ba Th
8 4 2
Direct
0.7225 0.0493 0.5000 Se
0.1328 0.7021 0.0000 Se
0.2775 0.9507 0.5000 Se
0.2225 0.4507 0.5000 Se
0.6328 0.7979 0.0000 Se
0.7775 0.5493 0.5000 Se
0.3672 0.2021 0.0000 Se
0.8672 0.2979 0.0000 Se
0.0840 0.1822 0.5000 Ba
0.5840 0.3178 0.5000 Ba
0.4160 0.6822 0.5000 Ba
0.9160 0.8178 0.5000 Ba
0.0000 0.5000 0.0000 Th
0.5000 0.0000 0.0000 Th
```

## Properties
Space group   Pbam (55)
Calculated volume   489.28 Å³/cell
Crystal system   orthorhombic
DFT total energy   -77.7 eV/cell